Entry 1:
# Pm9ErMg2 PBE-GGA relaxed
# crystal system = tetragonal
# final energy = -4.205 eV per atom
# V = 385 Å³/cell
# DOS(E_F) = 18.55 states/eV per cell
data_Pm9ErMg2
_chemical_formula_sum 'Pm9 Er1 Mg2'
_cell_length_a 5.035
_cell_length_b 5.035
_cell_length_c 15.190
_cell_angle_alpha 90.00
_cell_angle_beta 90.00
_cell_angle_gamma 90.00
_space_group_name_H-M_alt 'P 4/m m m'
_space_group_IT_number 123
_space_group_name_Hall '-P 4 2'
loop_
_atom_site_label
_atom_site_fract_x
_atom_site_fract_y
_atom_site_fract_z
_atom_site_occupancy
Pm1 0.000 0.000 0.000 1
Pm2 0.000 0.000 0.335 1
Pm3 0.000 0.500 0.169 1
Pm4 0.000 0.500 0.500 1
Er1 0.500 0.500 0.000 1
Mg1 0.500 0.500 0.337 1

Entry 2:
# Pm2ErMg4 PBE-GGA relaxed
# crystal system = tetragonal
# final energy = -2.375 eV per atom
# excess energy over the best structure of this formula in the dataset = 0.4211 eV per atom
# V = 502 Å³/cell
# DOS(E_F) = 17.78 states/eV per cell
data_Pm2ErMg4
_chemical_formula_sum 'Pm4 Er2 Mg8'
_cell_length_a 5.557
_cell_length_b 5.557
_cell_length_c 16.271
_cell_angle_alpha 90.00
_cell_angle_beta 90.00
_cell_angle_gamma 90.00
_space_group_name_H-M_alt 'I 4/m m m'
_space_group_IT_number 139
_space_group_name_Hall '-I 4 2'
loop_
_atom_site_label
_atom_site_fract_x
_atom_site_fract_y
_atom_site_fract_z
_atom_site_occupancy
Pm1 0.000 0.000 0.107 1
Er1 0.000 0.000 0.500 1
Mg1 0.000 0.000 0.314 1
Mg2 0.000 0.500 0.000 1

Entry 3:
# Pm4ErMg2 PBE-GGA relaxed
# crystal system = trigonal
# final energy = -3.561 eV per atom
# V = 728 Å³/cell
# DOS(E_F) = 27.79 states/eV per cell
data_Pm4ErMg2
_chemical_formula_sum 'Pm12 Er3 Mg6'
_cell_length_a 5.6054
_cell_length_b 5.6054
_cell_length_c 26.7594
_cell_angle_alpha 90.00
_cell_angle_beta 90.00
_cell_angle_gamma 120.00
_space_group_name_H-M_alt 'R -3 m'
_space_group_IT_number 166
_space_group_name_Hall '-R 3 2"'
loop_
_atom_site_label
_atom_site_fract_x
_atom_site_fract_y
_atom_site_fract_z
_atom_site_occupancy
Pm1 0.0000 0.0000 0.1306 1
Pm2 0.0000 0.0000 0.2575 1
Er1 0.0000 0.0000 0.5000 1
Mg1 0.0000 0.0000 0.3791 1

Entry 4:
# Pm6Er5Mg PBE-GGA relaxed
# crystal system = monoclinic
# final energy = -4.388 eV per atom
# V = 763 Å³/cell
# DOS(E_F) = 28.42 states/eV per cell
data_Pm6Er5Mg
_chemical_formula_sum 'Pm12 Er10 Mg2'
_cell_length_a 11.733
_cell_length_b 10.715
_cell_length_c 6.175
_cell_angle_alpha 90.00
_cell_angle_beta 100.44
_cell_angle_gamma 90.00
_space_group_name_H-M_alt 'C 1 2/m 1'
_space_group_IT_number 12
loop_
_space_group_symop_operation_xyz
'x,y,z'
'-x,-y,-z'
'-x,y,-z'
'x,-y,z'
'x+1/2,y+1/2,z'
'-x+1/2,-y+1/2,-z'
'-x+1/2,y+1/2,-z'
'x+1/2,-y+1/2,z'
loop_
_atom_site_label
_atom_site_fract_x
_atom_site_fract_y
_atom_site_fract_z
_atom_site_occupancy
Pm1 0.248 0.000 0.249 1
Pm2 0.248 0.333 0.254 1
Er1 0.000 0.000 0.500 1
Er2 0.000 0.166 0.000 1
Er3 0.000 0.334 0.500 1
Mg1 0.000 0.500 0.000 1